# 1
# CaCdRh3

CaCdRh3 after structural relaxation (PBE-GGA, the Alexandria database).

Summary:
formation energy from the elements: 0.87 eV per atom
E above lowest polymorph: 0.0 meV/atom

The structure in CIF format:
```
data_CaCdRh3
_chemical_formula_sum 'Ca1 Cd1 Rh3'
_symmetry_space_group_name_H-M 'P m -3 m'
_symmetry_Int_Tables_number 221
_symmetry_space_group_name_Hall '-P 4 2 3'
_cell_length_a 4.9288
_cell_length_b 4.9288
_cell_length_c 4.9288
_cell_angle_alpha 90.00
_cell_angle_beta 90.00
_cell_angle_gamma 90.00
loop_
_atom_site_label
_atom_site_type_symbol
_atom_site_fract_x
_atom_site_fract_y
_atom_site_fract_z
Ca1 Ca 0.0000 0.0000 0.0000
Cd1 Cd 0.5000 0.5000 0.5000
Rh1 Rh 0.0000 0.5000 0.5000
```


# 2
# YCoPb2

YCoPb2 after structural relaxation (PBE-GGA, the Alexandria database).

Summary:
formation energy from the elements: 0.20 eV per atom
E above lowest polymorph: 207.1 meV/atom

The structure in CIF format:
```
data_YCoPb2
_chemical_formula_sum 'Y4 Co4 Pb8'
_symmetry_space_group_name_H-M 'F -4 3 m'
_symmetry_Int_Tables_number 216
_symmetry_space_group_name_Hall 'F -4 2 3'
_cell_length_a 7.2235
_cell_length_b 7.2235
_cell_length_c 7.2235
_cell_angle_alpha 90.00
_cell_angle_beta 90.00
_cell_angle_gamma 90.00
loop_
_atom_site_label
_atom_site_type_symbol
_atom_site_fract_x
_atom_site_fract_y
_atom_site_fract_z
Y1 Y 0.0000 0.0000 0.0000
Co1 Co 0.2500 0.2500 0.7500
Pb1 Pb 0.0000 0.0000 0.5000
Pb2 Pb 0.2500 0.2500 0.2500
```


# 3
# Tb6CdHg5

Tb6CdHg5 after structural relaxation (PBE-GGA, the Alexandria database).

Summary:
formation energy from the elements: -0.45 eV per atom

The structure in CIF format:
```
data_Tb6CdHg5
_chemical_formula_sum 'Tb12 Cd2 Hg10'
_symmetry_space_group_name_H-M 'C m m m'
_symmetry_Int_Tables_number 65
_symmetry_space_group_name_Hall '-C 2 2'
_cell_length_a 5.2749
_cell_length_b 15.8951
_cell_length_c 7.4899
_cell_angle_alpha 90.00
_cell_angle_beta 90.00
_cell_angle_gamma 90.00
loop_
_atom_site_label
_atom_site_type_symbol
_atom_site_fract_x
_atom_site_fract_y
_atom_site_fract_z
Tb1 Tb 0.0000 0.0000 0.2471
Tb2 Tb 0.0000 0.3320 0.2504
Cd1 Cd 0.0000 0.5000 0.5000
Hg1 Hg 0.0000 0.1617 0.5000
Hg2 Hg 0.0000 0.1656 0.0000
Hg3 Hg 0.0000 0.5000 0.0000
```


# 4
# LiCd2Ni

LiCd2Ni after structural relaxation (PBE-GGA, the Alexandria database).

Summary:
formation energy from the elements: -0.14 eV per atom
E above lowest polymorph: 0.0 meV/atom

The structure in CIF format:
```
data_LiCd2Ni
_chemical_formula_sum 'Li4 Cd8 Ni4'
_symmetry_space_group_name_H-M 'F m -3 m'
_symmetry_Int_Tables_number 225
_symmetry_space_group_name_Hall '-F 4 2 3'
_cell_length_a 6.3751
_cell_length_b 6.3751
_cell_length_c 6.3751
_cell_angle_alpha 90.00
_cell_angle_beta 90.00
_cell_angle_gamma 90.00
loop_
_atom_site_label
_atom_site_type_symbol
_atom_site_fract_x
_atom_site_fract_y
_atom_site_fract_z
Li1 Li 0.0000 0.0000 0.0000
Cd1 Cd 0.2500 0.2500 0.2500
Ni1 Ni 0.0000 0.0000 0.5000
```


# 5
# Dy5Tm4Hg

Dy5Tm4Hg after structural relaxation (PBE-GGA, the Alexandria database).

Summary:
formation energy from the elements: -0.07 eV per atom

The structure in CIF format:
```
data_Dy5Tm4Hg
_chemical_formula_sum 'Dy5 Tm4 Hg1'
_symmetry_space_group_name_H-M 'P 4/m m m'
_symmetry_Int_Tables_number 123
_symmetry_space_group_name_Hall '-P 4 2'
_cell_length_a 3.5331
_cell_length_b 3.5331
_cell_length_c 23.8738
_cell_angle_alpha 90.00
_cell_angle_beta 90.00
_cell_angle_gamma 90.00
loop_
_atom_site_label
_atom_site_type_symbol
_atom_site_fract_x
_atom_site_fract_y
_atom_site_fract_z
Dy1 Dy 0.0000 0.0000 0.0000
Dy2 Dy 0.0000 0.0000 0.2069
Dy3 Dy 0.0000 0.0000 0.4144
Tm1 Tm 0.5000 0.5000 0.1033
Tm2 Tm 0.5000 0.5000 0.3100
Hg1 Hg 0.5000 0.5000 0.5000
```


# 6
# MgSiAg2Hg

MgSiAg2Hg after structural relaxation (PBE-GGA, the Alexandria database).

Summary:
energy relative to the elements, uncorrected: 18.6 kJ/mol of atoms

The structure in CIF format:
```
data_MgSiAg2Hg
_chemical_formula_sum 'Mg1 Si1 Ag2 Hg1'
_symmetry_space_group_name_H-M 'P 4/m m m'
_symmetry_Int_Tables_number 123
_symmetry_space_group_name_Hall '-P 4 2'
_cell_length_a 4.8995
_cell_length_b 4.8995
_cell_length_c 5.0698
_cell_angle_alpha 90.00
_cell_angle_beta 90.00
_cell_angle_gamma 90.00
loop_
_atom_site_label
_atom_site_type_symbol
_atom_site_fract_x
_atom_site_fract_y
_atom_site_fract_z
Mg1 Mg 0.0000 0.0000 0.0000
Si1 Si 0.0000 0.0000 0.5000
Ag1 Ag 0.0000 0.5000 0.5000
Hg1 Hg 0.5000 0.5000 0.0000
```


# 7
# MgCdHg4

MgCdHg4 after structural relaxation (PBE-GGA, the Alexandria database).

Summary:
formation energy from the elements: -0.04 eV per atom
E above lowest polymorph: 0.0 meV/atom

The structure in CIF format:
```
data_MgCdHg4
_chemical_formula_sum 'Mg2 Cd2 Hg8'
_symmetry_space_group_name_H-M 'C 1 2/m 1'
_symmetry_Int_Tables_number 12
_cell_length_a 13.5441
_cell_length_b 3.4321
_cell_length_c 6.7149
_cell_angle_alpha 90.00
_cell_angle_beta 112.49
_cell_angle_gamma 90.00
loop_
_symmetry_equiv_pos_as_xyz
'x,y,z'
'-x,-y,-z'
'-x,y,-z'
'x,-y,z'
'x+1/2,y+1/2,z'
'-x+1/2,-y+1/2,-z'
'-x+1/2,y+1/2,-z'
'x+1/2,-y+1/2,z'
loop_
_atom_site_label
_atom_site_type_symbol
_atom_site_fract_x
_atom_site_fract_y
_atom_site_fract_z
Mg1 Mg 0.0000 0.0000 0.0000
Cd1 Cd 0.0000 0.0000 0.5000
Hg1 Hg 0.1524 0.5000 0.8644
Hg2 Hg 0.1587 0.5000 0.3456
```


# 8
# LiPrGaPt

LiPrGaPt after structural relaxation (PBE-GGA, the Alexandria database).

Summary:
formation energy from the elements: -0.65 eV per atom
E above lowest polymorph: 74.0 meV/atom

The structure in CIF format:
```
data_LiPrGaPt
_chemical_formula_sum 'Li4 Pr4 Ga4 Pt4'
_symmetry_space_group_name_H-M 'F -4 3 m'
_symmetry_Int_Tables_number 216
_symmetry_space_group_name_Hall 'F -4 2 3'
_cell_length_a 6.7716
_cell_length_b 6.7716
_cell_length_c 6.7716
_cell_angle_alpha 90.00
_cell_angle_beta 90.00
_cell_angle_gamma 90.00
loop_
_atom_site_label
_atom_site_type_symbol
_atom_site_fract_x
_atom_site_fract_y
_atom_site_fract_z
Li1 Li 0.0000 0.0000 0.0000
Pr1 Pr 0.2500 0.2500 0.7500
Ga1 Ga 0.2500 0.2500 0.2500
Pt1 Pt 0.0000 0.0000 0.5000
```


# 9
# BaCo4Hg

BaCo4Hg after structural relaxation (PBE-GGA, the Alexandria database).

Summary:
formation energy from the elements: 0.47 eV per atom

The structure in CIF format:
```
data_BaCo4Hg
_chemical_formula_sum 'Ba4 Co16 Hg4'
_symmetry_space_group_name_H-M 'F -4 3 m'
_symmetry_Int_Tables_number 216
_symmetry_space_group_name_Hall 'F -4 2 3'
_cell_length_a 7.4202
_cell_length_b 7.4202
_cell_length_c 7.4202
_cell_angle_alpha 90.00
_cell_angle_beta 90.00
_cell_angle_gamma 90.00
loop_
_atom_site_label
_atom_site_type_symbol
_atom_site_fract_x
_atom_site_fract_y
_atom_site_fract_z
Ba1 Ba 0.0000 0.0000 0.0000
Co1 Co 0.1232 0.1232 0.6232
Hg1 Hg 0.2500 0.2500 0.2500
```


# 10
# CuSbClO2

CuSbClO2 after structural relaxation (PBE-GGA, the Alexandria database).

Summary:
energy relative to the elements, uncorrected: -84.5 kJ/mol of atoms

The structure in CIF format:
```
data_CuSbClO2
_chemical_formula_sum 'Cu2 Sb2 Cl2 O4'
_symmetry_space_group_name_H-M 'P 1 21/m 1'
_symmetry_Int_Tables_number 11
_cell_length_a 7.2548
_cell_length_b 4.0237
_cell_length_c 7.4727
_cell_angle_alpha 90.00
_cell_angle_beta 115.77
_cell_angle_gamma 90.00
loop_
_symmetry_equiv_pos_as_xyz
'x,y,z'
'-x,-y,-z'
'-x,y+1/2,-z'
'x,-y+1/2,z'
loop_
_atom_site_label
_atom_site_type_symbol
_atom_site_fract_x
_atom_site_fract_y
_atom_site_fract_z
Cu1 Cu 0.1094 0.2500 0.2713
Sb1 Sb 0.4383 0.7500 0.2851
Cl1 Cl 0.2231 0.7500 0.8373
O1 O 0.1554 0.7500 0.2708
O2 O 0.4049 0.2500 0.3830
```


# 11
# Ce3SbN2

Ce3SbN2 after structural relaxation (PBE-GGA, the Alexandria database).

Summary:
energy relative to the elements, uncorrected: -120.4 kJ/mol of atoms
E above lowest polymorph: 0.0 meV/atom

The structure in CIF format:
```
data_Ce3SbN2
_chemical_formula_sum 'Ce6 Sb2 N4'
_symmetry_space_group_name_H-M 'I 4/m m m'
_symmetry_Int_Tables_number 139
_symmetry_space_group_name_Hall '-I 4 2'
_cell_length_a 4.6965
_cell_length_b 4.6965
_cell_length_c 12.0256
_cell_angle_alpha 90.00
_cell_angle_beta 90.00
_cell_angle_gamma 90.00
loop_
_atom_site_label
_atom_site_type_symbol
_atom_site_fract_x
_atom_site_fract_y
_atom_site_fract_z
Ce1 Ce 0.0000 0.0000 0.0000
Ce2 Ce 0.0000 0.5000 0.2500
Sb1 Sb 0.0000 0.0000 0.5000
N1 N 0.0000 0.0000 0.1901
```


# 12
# CuICl

CuICl after structural relaxation (PBE-GGA, the Alexandria database).

Summary:
energy relative to the elements, uncorrected: -28.8 kJ/mol of atoms
E above lowest polymorph: 13.6 meV/atom

The structure in CIF format:
```
data_CuICl
_chemical_formula_sum 'Cu1 I1 Cl1'
_symmetry_space_group_name_H-M 'P m m 2'
_symmetry_Int_Tables_number 25
_cell_length_a 3.5763
_cell_length_b 3.9273
_cell_length_c 6.2641
_cell_angle_alpha 90.00
_cell_angle_beta 90.00
_cell_angle_gamma 90.00
loop_
_symmetry_equiv_pos_as_xyz
'x,y,z'
'-x,-y,z'
'-x,y,z'
'x,-y,z'
loop_
_atom_site_label
_atom_site_type_symbol
_atom_site_fract_x
_atom_site_fract_y
_atom_site_fract_z
Cu1 Cu 0.0000 0.0000 0.0000
I1 I 0.0000 0.5000 0.2676
Cl1 Cl 0.5000 0.0000 0.7825
```


Calculated Fermi-level density of states (states/eV per atom), listed in the same order as above: 1.285; 0.083; 1.147; 0.455; 1.364; 0.089; 0.325; 1.385; 1.505; 0.105; 2.504; 1.030
Calculated E_tot (eV per atom), listed in the same order as above: -4.120; -5.047; -2.970; -2.519; -4.193; -2.411; -0.663; -4.589; -4.642; -4.872; -7.677; -2.796